Entry 1:
This record from Alexandria via LeMat-Bulk describes a geometry-optimized CoSb3Cl structure. The functional is PBE-GGA.

Summary:
E above lowest polymorph, eV/atom: 0.0000
Electronic total energy, eV/cell: -20.13

Cell lengths 4.991, 4.991, 4.991 Å; angles 90.00, 90.00, 90.00 degrees
Site moments in Bohr magnetons follow the coordinates.
Element x y z (fractional)
Cl (0.500, 0.500, 0.500)  0.12
Co (0.000, 0.000, 0.000)  0.56
Sb (0.500, 0.000, 0.000)  0.03
Sb (0.000, 0.000, 0.500)  0.10
Sb (0.000, 0.500, 0.000)  0.05



Entry 2:
This record from Alexandria via LeMat-Bulk describes a geometry-optimized Co2SbCl structure. The functional is PBE-GGA.

Summary:
E above lowest polymorph, eV/atom: 0.4575
Electronic total energy, eV/cell: -18.25

Cell lengths 5.052, 5.052, 5.052 Å; angles 144.88, 112.62, 78.31 degrees
Site moments in Bohr magnetons follow the coordinates.
Element x y z (fractional)
Co (0.005, 0.005, 0.000)  1.11
Co (0.495, 0.495, 0.000)  1.11
Sb (0.750, 0.250, 0.500)  -0.06
Cl (0.250, 0.750, 0.500)  0.00



Entry 3:
This record from Alexandria via LeMat-Bulk describes a geometry-optimized Co2SbCl structure. The functional is PBE-GGA.

Summary:
E above lowest polymorph, eV/atom: 0.1120
Electronic total energy, eV/cell: -19.63

Cell lengths 7.015, 7.015, 7.015 Å; angles 30.57, 30.57, 30.57 degrees
Site moments in Bohr magnetons follow the coordinates.
Element x y z (fractional)
Co (0.269, 0.269, 0.269)  1.10
Co (0.978, 0.978, 0.978)  1.76
Cl (0.718, 0.718, 0.718)  0.06
Sb (0.535, 0.535, 0.535)  -0.01



Entry 4:
This record from Alexandria via LeMat-Bulk describes a geometry-optimized CoSb2Cl structure. The functional is PBE-GGA.

Summary:
E above lowest polymorph, eV/atom: 0.2228
Electronic total energy, eV/cell: -17.20

Cell lengths 8.069, 8.069, 8.069 Å; angles 156.90, 151.82, 36.75 degrees
Site moments in Bohr magnetons follow the coordinates.
Element x y z (fractional)
Cl (0.468, 0.468, 0.000)  0.00
Co (0.202, 0.702, 0.500)  0.35
Sb (0.754, 0.254, 0.500)  0.00
Sb (0.075, 0.075, 0.000)  -0.01



Entry 5:
This record from Alexandria via LeMat-Bulk describes a geometry-optimized CoSbCl4 structure. The functional is PBE-GGA.

Summary:
Electronic total energy, eV/cell: -13.16

Cell lengths 5.811, 5.811, 5.811 Å; angles 60.00, 60.00, 60.00 degrees
Site moments in Bohr magnetons follow the coordinates.
Element x y z (fractional)
Cl (0.376, 0.376, 0.872)  0.29
Cl (0.872, 0.376, 0.376)  0.29
Cl (0.376, 0.872, 0.376)  0.29
Cl (0.376, 0.376, 0.376)  0.29
Sb (0.000, 0.000, 0.000)  -0.07
Co (0.750, 0.750, 0.750)  2.24



Entry 6:
This record from Alexandria via LeMat-Bulk describes a geometry-optimized CoSb2Cl structure. The functional is PBE-GGA.

Summary:
E above lowest polymorph, eV/atom: 0.4045
Electronic total energy, eV/cell: -16.47

Cell lengths 3.143, 3.143, 9.034 Å; angles 90.00, 90.00, 90.00 degrees
Site moments in Bohr magnetons follow the coordinates.
Element x y z (fractional)
Cl (0.000, 0.000, 0.590)  0.06
Sb (0.000, 0.000, 0.927)  -0.07
Sb (0.500, 0.500, 0.228)  -0.01
Co (0.500, 0.500, 0.754)  1.30



Entry 7:
This record from Alexandria via LeMat-Bulk describes a geometry-optimized CoSb3Cl structure. The functional is PBE-GGA.

Summary:
E above lowest polymorph, eV/atom: 1.1263
Electronic total energy, eV/cell: -14.50

Cell lengths 5.182, 5.182, 5.182 Å; angles 90.00, 90.00, 90.00 degrees
Element x y z (fractional)
Cl (0.000, 0.000, 0.000)
Sb (0.000, 0.500, 0.000)
Sb (0.500, 0.000, 0.000)
Sb (0.000, 0.000, 0.500)
Co (0.500, 0.500, 0.500)



Entry 8:
This record from Alexandria via LeMat-Bulk describes a geometry-optimized Co2SbCl structure. The functional is PBE-GGA.

Summary:
E above lowest polymorph, eV/atom: 0.3610
Electronic total energy, eV/cell: -18.64

Cell lengths 3.146, 3.146, 6.474 Å; angles 90.00, 90.00, 90.00 degrees
Site moments in Bohr magnetons follow the coordinates.
Element x y z (fractional)
Sb (0.500, 0.500, 0.250)  -0.01
Co (0.000, 0.000, 0.458)  0.21
Co (0.000, 0.000, 0.042)  0.21
Cl (0.500, 0.500, 0.750)  -0.01



Entry 9:
This record from Alexandria via LeMat-Bulk describes a geometry-optimized CoSb2Cl structure. The functional is PBE-GGA.

Summary:
E above lowest polymorph, eV/atom: 0.6624
Electronic total energy, eV/cell: -15.44

Cell lengths 4.957, 4.957, 4.957 Å; angles 60.00, 60.00, 60.00 degrees
Site moments in Bohr magnetons follow the coordinates.
Element x y z (fractional)
Sb (0.250, 0.250, 0.250)  -0.02
Sb (0.000, 0.000, 0.000)  -0.01
Co (0.750, 0.750, 0.750)  1.88
Cl (0.500, 0.500, 0.500)  0.06



Entry 10:
This record from Alexandria via LeMat-Bulk describes a geometry-optimized Co2SbCl structure. The functional is PBE-GGA.

Summary:
E above lowest polymorph, eV/atom: 0.4106
Electronic total energy, eV/cell: -18.44

Cell lengths 3.302, 3.302, 7.692 Å; angles 90.00, 90.00, 123.24 degrees
Site moments in Bohr magnetons follow the coordinates.
Element x y z (fractional)
Co (0.000, 0.000, 0.993)  1.46
Co (0.000, 0.000, 0.507)  1.46
Cl (0.500, 0.500, 0.750)  0.06
Sb (0.500, 0.500, 0.250)  -0.02



Entry 11:
This record from Alexandria via LeMat-Bulk describes a geometry-optimized Co2SbCl structure. The functional is PBE-GGA.

Summary:
E above lowest polymorph, eV/atom: 0.5144
Electronic total energy, eV/cell: -18.02

Cell lengths 6.200, 6.200, 6.200 Å; angles 147.05, 147.05, 47.29 degrees
Site moments in Bohr magnetons follow the coordinates.
Element x y z (fractional)
Cl (0.750, 0.250, 0.500)  0.05
Sb (0.500, 0.500, 0.000)  -0.03
Co (0.000, 0.000, 0.000)  0.21
Co (0.250, 0.750, 0.500)  1.85



Entry 12:
This record from Alexandria via LeMat-Bulk describes a geometry-optimized Co3SbCl structure. The functional is PBE-GGA.

Summary:
E above lowest polymorph, eV/atom: 0.3923
Electronic total energy, eV/cell: -21.64

Cell lengths 4.909, 4.909, 4.909 Å; angles 90.00, 90.00, 90.00 degrees
Site moments in Bohr magnetons follow the coordinates.
Element x y z (fractional)
Sb (0.000, 0.000, 0.000)  0.05
Cl (0.500, 0.500, 0.500)  0.21
Co (0.500, 0.000, 0.000)  2.34
Co (0.000, 0.000, 0.500)  1.92
Co (0.000, 0.500, 0.000)  2.14



Entry 13:
This record from Alexandria via LeMat-Bulk describes a geometry-optimized CoSb2Cl structure. The functional is PBE-GGA.

Summary:
E above lowest polymorph, eV/atom: 0.1754
Electronic total energy, eV/cell: -17.39

Cell lengths 3.233, 3.233, 7.870 Å; angles 90.00, 90.00, 90.01 degrees
Site moments in Bohr magnetons follow the coordinates.
Element x y z (fractional)
Cl (0.500, 0.500, 0.250)  0.02
Sb (0.000, 0.000, 0.547)  0.00
Sb (0.000, 0.000, 0.953)  0.00
Co (0.500, 0.500, 0.750)  0.78



Entry 14:
This record from Alexandria via LeMat-Bulk describes a geometry-optimized Co2SbCl structure. The functional is PBE-GGA.

Summary:
E above lowest polymorph, eV/atom: 0.4952
Electronic total energy, eV/cell: -18.10

Cell lengths 4.428, 4.428, 4.428 Å; angles 60.00, 60.00, 60.00 degrees
Site moments in Bohr magnetons follow the coordinates.
Element x y z (fractional)
Co (0.750, 0.750, 0.750)  0.74
Co (0.250, 0.250, 0.250)  0.74
Sb (0.500, 0.500, 0.500)  -0.05
Cl (0.000, 0.000, 0.000)  0.01



Entry 15:
This record from Alexandria via LeMat-Bulk describes a geometry-optimized CoSb2Cl structure. The functional is PBE-GGA.

Summary:
E above lowest polymorph, eV/atom: 0.1965
Electronic total energy, eV/cell: -17.30

Cell lengths 3.476, 5.409, 5.410 Å; angles 58.06, 90.00, 90.00 degrees
Element x y z (fractional)
Cl (0.000, 0.575, 0.575)
Sb (0.500, 0.235, 0.235)
Sb (0.000, 0.936, 0.936)
Co (0.500, 0.754, 0.753)



Entry 16:
This record from Alexandria via LeMat-Bulk describes a geometry-optimized Co2SbCl structure. The functional is PBE-GGA.

Summary:
E above lowest polymorph, eV/atom: 0.7828
Electronic total energy, eV/cell: -16.95

Cell lengths 4.574, 4.574, 4.574 Å; angles 60.00, 60.00, 60.00 degrees
Site moments in Bohr magnetons follow the coordinates.
Element x y z (fractional)
Co (0.000, 0.000, 0.000)  1.46
Co (0.250, 0.250, 0.250)  1.78
Cl (0.500, 0.500, 0.500)  0.02
Sb (0.750, 0.750, 0.750)  -0.05



Entry 17:
This record from Alexandria via LeMat-Bulk describes a geometry-optimized Co2SiSbCl structure. The functional is PBE-GGA.

Summary:
Electronic total energy, eV/cell: -20.16

Cell lengths 4.828, 5.390, 4.828 Å; angles 90.00, 90.00, 90.00 degrees
Site moments in Bohr magnetons follow the coordinates.
Element x y z (fractional)
Si (0.000, 0.500, 0.000)  -0.03
Sb (0.000, 0.000, 0.000)  0.00
Cl (0.500, 0.500, 0.500)  0.06
Co (0.000, 0.000, 0.500)  1.69
Co (0.500, 0.000, 0.000)  2.00



Entry 18:
This record from Alexandria via LeMat-Bulk describes a geometry-optimized CoSb2TeCl structure. The functional is PBE-GGA.

Summary:
E above lowest polymorph, eV/atom: 1.0265
Electronic total energy, eV/cell: -14.00

Cell lengths 5.207, 5.207, 5.510 Å; angles 90.00, 90.00, 90.00 degrees
Site moments in Bohr magnetons follow the coordinates.
Element x y z (fractional)
Te (0.000, 0.000, 0.500)  0.04
Cl (0.000, 0.000, 0.000)  0.00
Sb (0.500, 0.000, 0.000)  0.01
Sb (0.000, 0.500, 0.000)  0.01
Co (0.500, 0.500, 0.500)  2.17



Entry 19:
This record from Alexandria via LeMat-Bulk describes a geometry-optimized CoSbTe2Cl structure. The functional is PBE-GGA.

Summary:
E above lowest polymorph, eV/atom: 1.0089
Electronic total energy, eV/cell: -13.01

Cell lengths 5.501, 5.501, 5.091 Å; angles 90.00, 90.00, 90.00 degrees
Site moments in Bohr magnetons follow the coordinates.
Element x y z (fractional)
Te (0.500, 0.000, 0.000)  0.08
Te (0.000, 0.500, 0.000)  0.08
Co (0.500, 0.500, 0.500)  2.22
Cl (0.000, 0.000, 0.000)  0.02
Sb (0.000, 0.000, 0.500)  0.10



Entry 20:
This record from Alexandria via LeMat-Bulk describes a geometry-optimized CoSbTe2Cl structure. The functional is PBE-GGA.

Summary:
E above lowest polymorph, eV/atom: 0.4850
Electronic total energy, eV/cell: -15.63

Cell lengths 5.726, 4.151, 5.726 Å; angles 90.00, 90.00, 90.00 degrees
Site moments in Bohr magnetons follow the coordinates.
Element x y z (fractional)
Te (0.500, 0.000, 0.000)  0.07
Te (0.000, 0.000, 0.500)  0.02
Co (0.000, 0.500, 0.000)  1.68
Cl (0.000, 0.000, 0.000)  0.04
Sb (0.500, 0.500, 0.500)  0.00



Entry 21:
This record from Alexandria via LeMat-Bulk describes a geometry-optimized CoSb2TeCl structure. The functional is PBE-GGA.

Summary:
E above lowest polymorph, eV/atom: 0.0000
Electronic total energy, eV/cell: -19.13

Cell lengths 5.025, 5.025, 5.019 Å; angles 90.00, 90.00, 90.00 degrees
Site moments in Bohr magnetons follow the coordinates.
Element x y z (fractional)
Sb (0.000, 0.500, 0.000)  0.04
Sb (0.500, 0.000, 0.000)  0.04
Te (0.000, 0.000, 0.500)  0.19
Co (0.000, 0.000, 0.000)  0.80
Cl (0.500, 0.500, 0.500)  0.10



Entry 22:
This record from Alexandria via LeMat-Bulk describes a geometry-optimized CoSbTe2Cl structure. The functional is PBE-GGA.

Summary:
E above lowest polymorph, eV/atom: 0.0000
Electronic total energy, eV/cell: -18.05

Cell lengths 4.991, 4.991, 5.180 Å; angles 90.00, 90.00, 90.00 degrees
Site moments in Bohr magnetons follow the coordinates.
Element x y z (fractional)
Cl (0.500, 0.500, 0.500)  0.09
Te (0.500, 0.000, 0.000)  0.13
Te (0.000, 0.500, 0.000)  0.13
Sb (0.000, 0.000, 0.500)  0.04
Co (0.000, 0.000, 0.000)  0.96



Entry 23:
This record from Alexandria via LeMat-Bulk describes a geometry-optimized TlCo2SbCl8 structure. The functional is PBE-GGA.

Summary:
Electronic total energy, eV/cell: -43.94

Cell lengths 6.445, 6.445, 9.603 Å; angles 86.90, 86.90, 69.70 degrees
Site moments in Bohr magnetons follow the coordinates.
Element x y z (fractional)
Cl (0.293, 0.293, 0.585)  0.13
Cl (0.707, 0.707, 0.415)  0.13
Cl (0.246, 0.741, 0.206)  0.07
Cl (0.741, 0.246, 0.206)  0.07
Cl (0.754, 0.259, 0.794)  0.07
Cl (0.748, 0.748, 0.012)  0.07
Cl (0.252, 0.252, 0.988)  0.07
Cl (0.259, 0.754, 0.794)  0.07
Co (0.377, 0.377, 0.786)  2.41
Co (0.623, 0.623, 0.214)  2.41
Tl (0.000, 0.000, 0.500)  0.01
Sb (0.000, 0.000, 0.000)  0.02



Entry 24:
This record from Alexandria via LeMat-Bulk describes a geometry-optimized TlCoSbCl6 structure. The functional is PBE-GGA.

Summary:
Electronic total energy, eV/cell: -31.73

Cell lengths 6.714, 6.714, 7.102 Å; angles 90.00, 90.00, 59.98 degrees
Site moments in Bohr magnetons follow the coordinates.
Element x y z (fractional)
Tl (0.000, 0.000, 0.000)  0.01
Cl (0.380, 0.645, 0.299)  0.06
Cl (0.976, 0.645, 0.701)  0.06
Cl (0.976, 0.380, 0.299)  0.06
Cl (0.644, 0.976, 0.299)  0.06
Cl (0.380, 0.976, 0.701)  0.06
Cl (0.645, 0.380, 0.701)  0.06
Co (0.667, 0.667, 0.500)  2.48
Sb (0.333, 0.333, 0.500)  0.01



Entry 25:
This record from Alexandria via LeMat-Bulk describes a geometry-optimized ScCoCl2 structure. The functional is PBE-GGA.

Summary:
E above lowest polymorph, eV/atom: 0.4307
Electronic total energy, eV/cell: -19.05

Cell lengths 10.155, 10.155, 10.155 Å; angles 18.69, 18.69, 18.69 degrees
Site moments in Bohr magnetons follow the coordinates.
Element x y z (fractional)
Cl (0.028, 0.028, 0.028)  0.01
Cl (0.472, 0.472, 0.472)  0.01
Sc (0.750, 0.750, 0.750)  0.17
Co (0.250, 0.250, 0.250)  2.12



Entry 26:
This record from Alexandria via LeMat-Bulk describes a geometry-optimized ScCo2Cl structure. The functional is PBE-GGA.

Summary:
E above lowest polymorph, eV/atom: 0.3899
Electronic total energy, eV/cell: -22.33

Cell lengths 3.491, 3.491, 5.355 Å; angles 90.00, 90.00, 90.00 degrees
Site moments in Bohr magnetons follow the coordinates.
Element x y z (fractional)
Sc (0.500, 0.500, 0.250)  -0.32
Cl (0.500, 0.500, 0.750)  0.01
Co (0.000, 0.000, 0.046)  1.27
Co (0.000, 0.000, 0.454)  1.27



Entry 27:
This record from Alexandria via LeMat-Bulk describes a geometry-optimized ScCo2Cl structure. The functional is PBE-GGA.

Summary:
E above lowest polymorph, eV/atom: 0.2841
Electronic total energy, eV/cell: -22.76

Cell lengths 5.127, 5.127, 4.099 Å; angles 92.56, 92.56, 34.92 degrees
Site moments in Bohr magnetons follow the coordinates.
Element x y z (fractional)
Co (0.470, 0.470, 0.542)  1.46
Co (0.030, 0.030, 0.958)  1.46
Cl (0.250, 0.250, 0.250)  0.00
Sc (0.750, 0.750, 0.750)  -0.26



Entry 28:
This record from Alexandria via LeMat-Bulk describes a geometry-optimized ScCoCl2 structure. The functional is PBE-GGA.

Summary:
E above lowest polymorph, eV/atom: 0.4929
Electronic total energy, eV/cell: -18.80

Cell lengths 3.896, 3.423, 5.385 Å; angles 91.86, 90.00, 90.00 degrees
Site moments in Bohr magnetons follow the coordinates.
Element x y z (fractional)
Cl (0.000, 0.041, 0.011)  0.02
Cl (0.000, 0.459, 0.489)  0.02
Co (0.500, 0.250, 0.250)  1.37
Sc (0.500, 0.750, 0.750)  0.01



Entry 29:
This record from Alexandria via LeMat-Bulk describes a geometry-optimized ScCoCl2 structure. The functional is PBE-GGA.

Summary:
E above lowest polymorph, eV/atom: 0.5471
Electronic total energy, eV/cell: -18.59

Cell lengths 4.302, 4.302, 3.382 Å; angles 90.00, 90.00, 90.00 degrees
Site moments in Bohr magnetons follow the coordinates.
Element x y z (fractional)
Cl (0.000, 0.000, 0.000)  0.04
Cl (0.500, 0.500, 0.000)  0.04
Co (0.500, 0.000, 0.500)  1.43
Sc (0.000, 0.500, 0.500)  -0.20